[1]
LiSiAs2 | PBE-GGA | optimized geometry

abc: 6.5719 6.5719 6.5719
angles: 90.00 90.00 90.00
Space group F-43m (No. 216)
Symmetry-distinct sites (fractional):
Li: 0.0000 0.0000 0.0000 (multiplicity 4)
Si: 0.2500 0.2500 0.7500 (multiplicity 4)
As: 0.0000 0.0000 0.5000 (multiplicity 4)
As: 0.2500 0.2500 0.2500 (multiplicity 4)

crystal system	cubic
raw formation energy	0.248	eV per atom
energy	-3.91	eV/atom

[2]
HfCdTeO5 | PBE-GGA | optimized geometry

abc: 7.9447 8.9130 8.0985
angles: 90.00 118.49 90.00
Space group C2/c (No. 15)
Symmetry-distinct sites (fractional):
Hf: 0.2500 0.2500 0.0000 (multiplicity 4)
Cd: 0.0000 0.0590 0.2500 (multiplicity 4)
Te: 0.0000 0.4358 0.2500 (multiplicity 4)
O: 0.0000 0.2490 0.7500 (multiplicity 4)
O: 0.0884 0.2784 0.1468 (multiplicity 8)
O: 0.2353 0.0136 0.0174 (multiplicity 8)

crystal system	monoclinic
raw formation energy	-1.880	eV per atom
energy	-6.73	eV/atom

[3]
MgB2Rh4 | PBE-GGA | optimized geometry

abc: 5.3522 5.5280 6.9264
angles: 71.03 68.92 74.11
Space group P1 (No. 1)
Symmetry-distinct sites (fractional):
Mg: 0.0000 0.0000 0.0000 (multiplicity 1)
Mg: 0.1684 0.7905 0.6037 (multiplicity 1)
B: 0.1327 0.4379 0.1489 (multiplicity 1)
B: 0.5042 0.3434 0.5013 (multiplicity 1)
B: 0.5384 0.9417 0.0208 (multiplicity 1)
B: 0.7719 0.5805 0.6999 (multiplicity 1)
Rh: 0.1002 0.3013 0.6097 (multiplicity 1)
Rh: 0.3152 0.6598 0.2303 (multiplicity 1)
Rh: 0.4506 0.3841 0.8414 (multiplicity 1)
Rh: 0.4591 0.1350 0.2518 (multiplicity 1)
Rh: 0.5358 0.9387 0.7267 (multiplicity 1)
Rh: 0.7369 0.6510 0.3974 (multiplicity 1)
Rh: 0.8329 0.5589 0.9888 (multiplicity 1)
Rh: 0.8944 0.1560 0.3460 (multiplicity 1)

crystal system	triclinic
energy of formation	-0.34	eV/atom
energy	-6.68	eV/atom

[4]
Mo8Rh | PBE-GGA | optimized geometry

abc: 9.4415 9.4415 3.1875
angles: 90.00 90.00 90.00
Space group I4/mmm (No. 139)
Symmetry-distinct sites (fractional):
Mo: 0.0000 0.3315 0.0000 (multiplicity 8)
Mo: 0.1703 0.1703 0.5000 (multiplicity 8)
Rh: 0.0000 0.0000 0.0000 (multiplicity 2)

crystal system	tetragonal
energy of formation	0.06	eV/atom
energy	-10.39	eV/atom

[5]
Mn2AgTe | PBE-GGA | optimized geometry

abc: 4.1384 4.1384 19.0918
angles: 90.00 90.00 90.00
Space group I-42d (No. 122)
Symmetry-distinct sites (fractional):
Mn: 0.2412 0.2500 0.1250 (multiplicity 8)
Ag: 0.0000 0.0000 0.5000 (multiplicity 4)
Te: 0.0000 0.0000 0.0000 (multiplicity 4)

crystal system	tetragonal
raw formation energy	0.543	eV per atom
energy	-5.54	eV/atom

[6]
SrLiW2 | PBE-GGA | optimized geometry

abc: 3.8443 3.8443 5.3917
angles: 90.00 90.00 90.00
Space group P4/mmm (No. 123)
Symmetry-distinct sites (fractional):
Sr: 0.0000 0.0000 0.0000 (multiplicity 1)
Li: 0.5000 0.5000 0.0000 (multiplicity 1)
W: 0.0000 0.5000 0.5000 (multiplicity 2)

relative energy among the computed polymorphs	387	meV per atom
crystal system	tetragonal
energy of formation	1.02	eV/atom
energy	-6.36	eV/atom

[7]
Li2CdHg2 | PBE-GGA | optimized geometry

abc: 7.8164 7.8164 3.2908
angles: 90.00 90.00 90.00
Space group P4/mbm (No. 127)
Symmetry-distinct sites (fractional):
Li: 0.1599 0.3401 0.0000 (multiplicity 4)
Cd: 0.0000 0.0000 0.5000 (multiplicity 2)
Hg: 0.1377 0.6377 0.5000 (multiplicity 4)

relative energy among the computed polymorphs	0	meV per atom
crystal system	tetragonal
energy of formation	-0.27	eV/atom
energy	-1.34	eV/atom

[8]
ScAlIn2Ag | PBE-GGA | optimized geometry

abc: 5.3532 5.3532 5.5616
angles: 90.00 90.00 90.00
Space group P4/mmm (No. 123)
Symmetry-distinct sites (fractional):
Sc: 0.0000 0.0000 0.0000 (multiplicity 1)
Al: 0.5000 0.5000 0.0000 (multiplicity 1)
In: 0.0000 0.5000 0.5000 (multiplicity 2)
Ag: 0.0000 0.0000 0.5000 (multiplicity 1)

crystal system	tetragonal
energy of formation	0.48	eV/atom
energy	-3.20	eV/atom

[9]
PmErGaGe | PBE-GGA | optimized geometry

abc: 4.0343 4.3636 10.9252
angles: 90.00 90.00 90.00
Space group Amm2 (No. 38)
Symmetry-distinct sites (fractional):
Pm: 0.0000 0.0000 0.0000 (multiplicity 2)
Er: 0.5000 0.0000 0.2793 (multiplicity 2)
Ga: 0.5000 0.0000 0.5646 (multiplicity 2)
Ge: 0.0000 0.0000 0.7204 (multiplicity 2)

relative energy among the computed polymorphs	0	meV per atom
crystal system	orthorhombic
energy of formation	-0.77	eV/atom
energy	-5.01	eV/atom

[10]
Re7C | PBE-GGA | optimized geometry

abc: 7.7466 7.7466 7.7466
angles: 90.00 90.00 90.00
Space group Fm-3m (No. 225)
Symmetry-distinct sites (fractional):
Re: 0.0000 0.0000 0.0000 (multiplicity 4)
Re: 0.0000 0.2500 0.2500 (multiplicity 24)
C: 0.0000 0.0000 0.5000 (multiplicity 4)

crystal system	cubic
energy of formation	0.93	eV/atom
energy	-11.12	eV/atom

[11]
Pm12Ho2Sc | PBE-GGA | optimized geometry

abc: 6.5250 6.5250 25.0401
angles: 90.00 90.00 90.00
Space group P4/nbm (No. 125, origin choice 2)
Symmetry-distinct sites (fractional):
Pm: 0.0650 0.5650 0.1086 (multiplicity 8)
Pm: 0.0823 0.5823 0.5633 (multiplicity 8)
Pm: 0.2500 0.2500 0.2108 (multiplicity 4)
Pm: 0.2500 0.2500 0.3346 (multiplicity 4)
Ho: 0.2500 0.7500 0.2683 (multiplicity 4)
Sc: 0.2500 0.7500 0.0000 (multiplicity 2)

crystal system	tetragonal
energy of formation	0.34	eV/atom
energy	-4.49	eV/atom

[12]
CrHgIrRh2 | PBE-GGA | optimized geometry

abc: 4.7259 4.7259 5.1541
angles: 90.00 90.00 90.00
Space group P4/mmm (No. 123)
Symmetry-distinct sites (fractional):
Cr: 0.0000 0.0000 0.0000 (multiplicity 1)
Hg: 0.5000 0.5000 0.0000 (multiplicity 1)
Ir: 0.5000 0.5000 0.5000 (multiplicity 1)
Rh: 0.0000 0.5000 0.5000 (multiplicity 2)

crystal system	tetragonal
energy of formation	1.29	eV/atom
energy	-5.41	eV/atom